PBE Li4U3CoSe8, optimized geometry; N(E_F) = 10.4 states/eV/f.u.; energy relative to the elements, uncorrected = -1036.8 meV/atom; electronic total energy = -5.818 eV per atom
1.0
3.908 2.256 6.596
-3.908 2.256 6.596
0.000 -4.512 6.596
Li U Co Se
4 3 1 8
direct
0.000 0.000 0.000
0.000 0.500 0.500
0.500 0.000 0.500
0.500 0.500 0.000
0.000 0.000 0.500
0.000 0.500 0.000
0.500 0.000 0.000
0.500 0.500 0.500
0.256 0.256 0.256
0.259 0.259 0.734
0.259 0.734 0.259
0.266 0.741 0.741
0.734 0.259 0.259
0.741 0.266 0.741
0.741 0.741 0.266
0.744 0.744 0.744